# ScRu3N | Alexandria | GGA-PBEsol | relaxed
data_ScRu3N
_chemical_formula_sum 'Sc1 Ru3 N1'
_cell_length_a 4.020
_cell_length_b 4.020
_cell_length_c 4.020
_cell_angle_alpha 90.00
_cell_angle_beta 90.00
_cell_angle_gamma 90.00
_space_group_name_H-M_alt 'P 1'
_space_group_IT_number 1
loop_
_space_group_symop_operation_xyz
'x,y,z'
loop_
_atom_site_label
_atom_site_type_symbol
_atom_site_fract_x
_atom_site_fract_y
_atom_site_fract_z
Sc1 Sc 0.500 0.500 0.500
Ru1 Ru 0.000 0.500 0.000
N1 N 0.000 0.000 0.000
Ru2 Ru 0.500 0.000 0.000
Ru3 Ru 0.000 0.000 0.500
# calculated volume: 65 Å³ per cell
# E: -9.46 eV/atom
# formation energy (no corrections): -333 meV per atom
# space group: No. 221
# mass density: 9.26 Mg/m³


# Li5Y | Alexandria | GGA-PBEsol | relaxed
data_Li5Y
_chemical_formula_sum 'Li5 Y1'
_cell_length_a 3.302
_cell_length_b 5.799
_cell_length_c 7.506
_cell_angle_alpha 108.29
_cell_angle_beta 90.00
_cell_angle_gamma 106.54
_space_group_name_H-M_alt 'P 1'
_space_group_IT_number 1
loop_
_space_group_symop_operation_xyz
'x,y,z'
loop_
_atom_site_label
_atom_site_type_symbol
_atom_site_fract_x
_atom_site_fract_y
_atom_site_fract_z
Y1 Y 0.694 0.389 0.889
Li1 Li 0.378 0.757 0.705
Li2 Li 0.011 0.021 0.073
Li3 Li 0.695 0.390 0.389
Li4 Li 0.029 0.059 0.527
Li5 Li 0.359 0.719 0.251
# calculated volume: 130 Å³ per cell
# E: -2.68 eV/atom
# space group: No. 8
# mass density: 1.58 Mg/m³


# SrRePt2 | Alexandria | GGA-PBEsol | relaxed
data_SrRePt2
_chemical_formula_sum 'Sr1 Re1 Pt2'
_cell_length_a 2.850
_cell_length_b 2.850
_cell_length_c 9.965
_cell_angle_alpha 81.78
_cell_angle_beta 81.78
_cell_angle_gamma 60.00
_space_group_name_H-M_alt 'P 1'
_space_group_IT_number 1
loop_
_space_group_symop_operation_xyz
'x,y,z'
loop_
_atom_site_label
_atom_site_type_symbol
_atom_site_fract_x
_atom_site_fract_y
_atom_site_fract_z
Pt1 Pt 0.752 0.752 0.745
Pt2 Pt 0.007 0.007 0.978
Re1 Re 0.489 0.489 0.532
Sr1 Sr 0.252 0.252 0.245
# calculated volume: 69 Å³ per cell
# E: -6.78 eV/atom
# space group: No. 160
# mass density: 15.95 Mg/m³


# Ba2SrTl | Alexandria | GGA-PBEsol | relaxed
data_Ba2SrTl
_chemical_formula_sum 'Ba2 Sr1 Tl1'
_cell_length_a 4.324
_cell_length_b 5.538
_cell_length_c 7.808
_cell_angle_alpha 90.00
_cell_angle_beta 106.03
_cell_angle_gamma 90.00
_space_group_name_H-M_alt 'P 1'
_space_group_IT_number 1
loop_
_space_group_symop_operation_xyz
'x,y,z'
loop_
_atom_site_label
_atom_site_type_symbol
_atom_site_fract_x
_atom_site_fract_y
_atom_site_fract_z
Ba1 Ba 0.568 0.500 0.262
Sr1 Sr 0.195 0.000 0.517
Tl1 Tl 0.327 0.500 0.775
Ba2 Ba 0.911 0.000 0.946
# calculated volume: 180 Å³ per cell
# E: -2.33 eV/atom
# space group: No. 6
# mass density: 5.24 Mg/m³


# HfTaS2N | Alexandria | GGA-PBEsol | relaxed
data_HfTaS2N
_chemical_formula_sum 'Hf1 Ta1 S2 N1'
_cell_length_a 3.827
_cell_length_b 4.774
_cell_length_c 4.774
_cell_angle_alpha 90.00
_cell_angle_beta 90.00
_cell_angle_gamma 90.00
_space_group_name_H-M_alt 'P 1'
_space_group_IT_number 1
loop_
_space_group_symop_operation_xyz
'x,y,z'
loop_
_atom_site_label
_atom_site_type_symbol
_atom_site_fract_x
_atom_site_fract_y
_atom_site_fract_z
N1 N 0.500 0.000 0.000
S1 S 0.000 0.000 0.500
Hf1 Hf 0.500 0.500 0.500
S2 S 0.000 0.500 0.000
Ta1 Ta 0.000 0.000 0.000
# calculated volume: 87 Å³ per cell
# E: -8.37 eV/atom
# formation energy (no corrections): -297 meV per atom
# space group: No. 123
# mass density: 8.33 Mg/m³


# GaBi2O | Alexandria | GGA-PBEsol | relaxed
data_GaBi2O
_chemical_formula_sum 'Ga2 Bi4 O2'
_cell_length_a 5.507
_cell_length_b 5.507
_cell_length_c 7.809
_cell_angle_alpha 110.65
_cell_angle_beta 110.65
_cell_angle_gamma 90.00
_space_group_name_H-M_alt 'P 1'
_space_group_IT_number 1
loop_
_space_group_symop_operation_xyz
'x,y,z'
loop_
_atom_site_label
_atom_site_type_symbol
_atom_site_fract_x
_atom_site_fract_y
_atom_site_fract_z
Bi1 Bi 0.625 0.544 0.750
O1 O 0.500 0.500 0.000
Bi2 Bi 0.456 0.875 0.250
Bi3 Bi 0.794 0.375 0.250
Ga1 Ga 0.000 0.000 0.000
O2 O 0.750 0.250 0.500
Bi4 Bi 0.125 0.206 0.750
Ga2 Ga 0.250 0.750 0.500
# calculated volume: 205 Å³ per cell
# E: -4.46 eV/atom
# formation energy (no corrections): -170 meV per atom
# space group: No. 122
# mass density: 8.15 Mg/m³


# CoRuCl3 | Alexandria | GGA-PBEsol | relaxed
data_CoRuCl3
_chemical_formula_sum 'Co1 Ru1 Cl3'
_cell_length_a 4.476
_cell_length_b 4.476
_cell_length_c 4.476
_cell_angle_alpha 90.00
_cell_angle_beta 90.00
_cell_angle_gamma 90.00
_space_group_name_H-M_alt 'P 1'
_space_group_IT_number 1
loop_
_space_group_symop_operation_xyz
'x,y,z'
loop_
_atom_site_label
_atom_site_type_symbol
_atom_site_fract_x
_atom_site_fract_y
_atom_site_fract_z
Cl1 Cl 0.000 0.000 0.500
Co1 Co 0.000 0.000 0.000
Cl2 Cl 0.500 0.000 0.000
Ru1 Ru 0.500 0.500 0.500
Cl3 Cl 0.000 0.500 0.000
# calculated volume: 90 Å³ per cell
# E: -4.19 eV/atom
# formation energy (no corrections): 595 meV per atom
# space group: No. 221
# mass density: 4.93 Mg/m³


# CsIn2BiO | Alexandria | GGA-PBEsol | relaxed
data_CsIn2BiO
_chemical_formula_sum 'Cs1 In2 Bi1 O1'
_cell_length_a 4.288
_cell_length_b 6.364
_cell_length_c 6.364
_cell_angle_alpha 90.00
_cell_angle_beta 90.00
_cell_angle_gamma 90.00
_space_group_name_H-M_alt 'P 1'
_space_group_IT_number 1
loop_
_space_group_symop_operation_xyz
'x,y,z'
loop_
_atom_site_label
_atom_site_type_symbol
_atom_site_fract_x
_atom_site_fract_y
_atom_site_fract_z
O1 O 0.500 0.000 0.000
Bi1 Bi 0.500 0.500 0.500
Cs1 Cs 0.000 0.000 0.000
In1 In 0.000 0.000 0.500
In2 In 0.000 0.500 0.000
# calculated volume: 174 Å³ per cell
# E: -2.76 eV/atom
# formation energy (no corrections): 528 meV per atom
# space group: No. 123
# mass density: 5.62 Mg/m³


# YAl7Cu5 | Alexandria | GGA-PBEsol | relaxed
data_YAl7Cu5
_chemical_formula_sum 'Y1 Al7 Cu5'
_cell_length_a 5.074
_cell_length_b 6.599
_cell_length_c 6.599
_cell_angle_alpha 81.13
_cell_angle_beta 67.39
_cell_angle_gamma 67.39
_space_group_name_H-M_alt 'P 1'
_space_group_IT_number 1
loop_
_space_group_symop_operation_xyz
'x,y,z'
loop_
_atom_site_label
_atom_site_type_symbol
_atom_site_fract_x
_atom_site_fract_y
_atom_site_fract_z
Cu1 Cu 0.004 0.495 0.000
Al1 Al 0.293 0.199 0.215
Cu2 Cu 0.996 0.000 0.505
Cu3 Cu 0.499 0.000 0.505
Cu4 Cu 0.501 0.495 0.000
Al2 Al 0.000 0.350 0.650
Al3 Al 0.000 0.657 0.343
Y1 Y 0.000 0.001 0.999
Al4 Al 0.347 0.661 0.645
Al5 Al 0.707 0.785 0.801
Al6 Al 0.500 0.227 0.773
Al7 Al 0.653 0.355 0.339
Cu5 Cu 0.500 0.773 0.227
# calculated volume: 188 Å³ per cell
# E: -4.75 eV/atom
# space group: No. 44
# mass density: 5.25 Mg/m³


# BaSbTe | Alexandria | GGA-PBEsol | relaxed
data_BaSbTe
_chemical_formula_sum 'Ba1 Sb1 Te1'
_cell_length_a 4.604
_cell_length_b 4.604
_cell_length_c 6.172
_cell_angle_alpha 111.90
_cell_angle_beta 111.90
_cell_angle_gamma 90.00
_space_group_name_H-M_alt 'P 1'
_space_group_IT_number 1
loop_
_space_group_symop_operation_xyz
'x,y,z'
loop_
_atom_site_label
_atom_site_type_symbol
_atom_site_fract_x
_atom_site_fract_y
_atom_site_fract_z
Te1 Te 0.369 0.369 0.738
Ba1 Ba 0.995 0.995 0.989
Sb1 Sb 0.636 0.636 0.273
# calculated volume: 111 Å³ per cell
# E: -4.14 eV/atom
# formation energy (no corrections): -732 meV per atom
# space group: No. 107
# mass density: 5.78 Mg/m³


# Zr2CdHg | Alexandria | GGA-PBEsol | relaxed
data_Zr2CdHg
_chemical_formula_sum 'Zr2 Cd1 Hg1'
_cell_length_a 3.189
_cell_length_b 5.177
_cell_length_c 5.907
_cell_angle_alpha 115.99
_cell_angle_beta 105.66
_cell_angle_gamma 90.00
_space_group_name_H-M_alt 'P 1'
_space_group_IT_number 1
loop_
_space_group_symop_operation_xyz
'x,y,z'
loop_
_atom_site_label
_atom_site_type_symbol
_atom_site_fract_x
_atom_site_fract_y
_atom_site_fract_z
Zr1 Zr 0.251 0.751 0.502
Zr2 Zr 0.004 0.004 0.008
Hg1 Hg 0.755 0.255 0.510
Cd1 Cd 0.490 0.490 0.980
# calculated volume: 84 Å³ per cell
# E: -5.15 eV/atom
# space group: No. 44
# mass density: 9.84 Mg/m³


# BaAs3Pb | Alexandria | GGA-PBEsol | relaxed
data_BaAs3Pb
_chemical_formula_sum 'Ba1 As3 Pb1'
_cell_length_a 5.601
_cell_length_b 5.601
_cell_length_c 5.601
_cell_angle_alpha 90.00
_cell_angle_beta 90.00
_cell_angle_gamma 90.00
_space_group_name_H-M_alt 'P 1'
_space_group_IT_number 1
loop_
_space_group_symop_operation_xyz
'x,y,z'
loop_
_atom_site_label
_atom_site_type_symbol
_atom_site_fract_x
_atom_site_fract_y
_atom_site_fract_z
Ba1 Ba 0.000 0.000 0.000
As1 As 0.000 0.000 0.500
As2 As 0.500 0.000 0.000
Pb1 Pb 0.500 0.500 0.500
As3 As 0.000 0.500 0.000
# calculated volume: 176 Å³ per cell
# E: -3.32 eV/atom
# space group: No. 221
# mass density: 5.38 Mg/m³


# TiInAs2Br | Alexandria | GGA-PBEsol | relaxed
data_TiInAs2Br
_chemical_formula_sum 'Ti1 In1 As2 Br1'
_cell_length_a 5.084
_cell_length_b 5.084
_cell_length_c 5.320
_cell_angle_alpha 90.00
_cell_angle_beta 90.00
_cell_angle_gamma 90.00
_space_group_name_H-M_alt 'P 1'
_space_group_IT_number 1
loop_
_space_group_symop_operation_xyz
'x,y,z'
loop_
_atom_site_label
_atom_site_type_symbol
_atom_site_fract_x
_atom_site_fract_y
_atom_site_fract_z
Ti1 Ti 0.500 0.500 0.500
As1 As 0.500 0.000 0.000
In1 In 0.000 0.000 0.000
Br1 Br 0.000 0.000 0.500
As2 As 0.000 0.500 0.000
# calculated volume: 138 Å³ per cell
# E: -3.88 eV/atom
# formation energy (no corrections): 798 meV per atom
# space group: No. 123
# mass density: 4.74 Mg/m³


# YAgAu4 | Alexandria | GGA-PBEsol | relaxed
data_YAgAu4
_chemical_formula_sum 'Y1 Ag1 Au4'
_cell_length_a 5.430
_cell_length_b 5.430
_cell_length_c 5.430
_cell_angle_alpha 60.00
_cell_angle_beta 60.00
_cell_angle_gamma 60.00
_space_group_name_H-M_alt 'P 1'
_space_group_IT_number 1
loop_
_space_group_symop_operation_xyz
'x,y,z'
loop_
_atom_site_label
_atom_site_type_symbol
_atom_site_fract_x
_atom_site_fract_y
_atom_site_fract_z
Au1 Au 0.375 0.375 0.876
Au2 Au 0.876 0.375 0.375
Ag1 Ag 0.000 0.000 0.000
Au3 Au 0.375 0.375 0.375
Y1 Y 0.750 0.750 0.750
Au4 Au 0.375 0.876 0.375
# calculated volume: 113 Å³ per cell
# E: -4.74 eV/atom
# space group: No. 216
# mass density: 14.44 Mg/m³


# CuMoC3 | Alexandria | GGA-PBEsol | relaxed
data_CuMoC3
_chemical_formula_sum 'Cu1 Mo1 C3'
_cell_length_a 3.679
_cell_length_b 3.679
_cell_length_c 3.679
_cell_angle_alpha 90.00
_cell_angle_beta 90.00
_cell_angle_gamma 90.00
_space_group_name_H-M_alt 'P 1'
_space_group_IT_number 1
loop_
_space_group_symop_operation_xyz
'x,y,z'
loop_
_atom_site_label
_atom_site_type_symbol
_atom_site_fract_x
_atom_site_fract_y
_atom_site_fract_z
Cu1 Cu 0.000 0.000 0.000
C1 C 0.000 0.000 0.500
Mo1 Mo 0.500 0.500 0.500
C2 C 0.000 0.500 0.000
C3 C 0.500 0.000 0.000
# calculated volume: 50 Å³ per cell
# E: -6.47 eV/atom
# space group: No. 221
# mass density: 6.52 Mg/m³


# TbAl8Cu4 | Alexandria | GGA-PBEsol | relaxed
data_TbAl8Cu4
_chemical_formula_sum 'Tb1 Al8 Cu4'
_cell_length_a 5.091
_cell_length_b 6.668
_cell_length_c 6.668
_cell_angle_alpha 81.62
_cell_angle_beta 67.56
_cell_angle_gamma 67.56
_space_group_name_H-M_alt 'P 1'
_space_group_IT_number 1
loop_
_space_group_symop_operation_xyz
'x,y,z'
loop_
_atom_site_label
_atom_site_type_symbol
_atom_site_fract_x
_atom_site_fract_y
_atom_site_fract_z
Al1 Al 0.347 0.653 0.653
Tb1 Tb 0.000 0.000 0.000
Cu1 Cu 0.500 0.500 0.000
Al2 Al 0.500 0.218 0.782
Cu2 Cu 0.000 0.000 0.500
Al3 Al 0.500 0.782 0.218
Cu3 Cu 0.000 0.500 0.000
Al4 Al 0.282 0.218 0.218
Al5 Al 0.718 0.782 0.782
Cu4 Cu 0.500 0.000 0.500
Al6 Al 0.653 0.347 0.347
Al7 Al 0.000 0.653 0.347
Al8 Al 0.000 0.347 0.653
# calculated volume: 193 Å³ per cell
# E: -4.56 eV/atom
# space group: No. 139
# mass density: 5.40 Mg/m³


# SrCr2P | Alexandria | GGA-PBEsol | relaxed
data_SrCr2P
_chemical_formula_sum 'Sr1 Cr2 P1'
_cell_length_a 3.156
_cell_length_b 3.156
_cell_length_c 6.587
_cell_angle_alpha 90.00
_cell_angle_beta 90.00
_cell_angle_gamma 90.00
_space_group_name_H-M_alt 'P 1'
_space_group_IT_number 1
loop_
_space_group_symop_operation_xyz
'x,y,z'
loop_
_atom_site_label
_atom_site_type_symbol
_atom_site_fract_x
_atom_site_fract_y
_atom_site_fract_z
Cr1 Cr 0.000 0.000 0.847
Sr1 Sr 0.500 0.500 0.500
Cr2 Cr 0.000 0.000 0.153
P1 P 0.500 0.500 0.000
# calculated volume: 66 Å³ per cell
# E: -6.73 eV/atom
# space group: No. 123
# mass density: 5.63 Mg/m³


# BaFeAg | Alexandria | GGA-PBEsol | relaxed
data_BaFeAg
_chemical_formula_sum 'Ba1 Fe1 Ag1'
_cell_length_a 4.999
_cell_length_b 4.999
_cell_length_c 4.999
_cell_angle_alpha 60.00
_cell_angle_beta 60.00
_cell_angle_gamma 60.00
_space_group_name_H-M_alt 'P 1'
_space_group_IT_number 1
loop_
_space_group_symop_operation_xyz
'x,y,z'
loop_
_atom_site_label
_atom_site_type_symbol
_atom_site_fract_x
_atom_site_fract_y
_atom_site_fract_z
Ag1 Ag 0.250 0.250 0.250
Fe1 Fe 0.500 0.500 0.500
Ba1 Ba 0.000 0.000 0.000
# calculated volume: 88 Å³ per cell
# E: -3.94 eV/atom
# space group: No. 216
# mass density: 5.66 Mg/m³


# MgOs2Pb | Alexandria | GGA-PBEsol | relaxed
data_MgOs2Pb
_chemical_formula_sum 'Mg1 Os2 Pb1'
_cell_length_a 3.087
_cell_length_b 4.546
_cell_length_c 4.798
_cell_angle_alpha 90.00
_cell_angle_beta 90.00
_cell_angle_gamma 90.00
_space_group_name_H-M_alt 'P 1'
_space_group_IT_number 1
loop_
_space_group_symop_operation_xyz
'x,y,z'
loop_
_atom_site_label
_atom_site_type_symbol
_atom_site_fract_x
_atom_site_fract_y
_atom_site_fract_z
Os1 Os 0.000 0.000 0.000
Os2 Os 0.500 0.000 0.500
Mg1 Mg 0.000 0.500 0.500
Pb1 Pb 0.500 0.500 0.000
# calculated volume: 67 Å³ per cell
# E: -6.69 eV/atom
# space group: No. 47
# mass density: 15.09 Mg/m³


# YZn2 | Alexandria | GGA-PBEsol | relaxed
data_YZn2
_chemical_formula_sum 'Y2 Zn4'
_cell_length_a 4.034
_cell_length_b 4.034
_cell_length_c 7.954
_cell_angle_alpha 104.69
_cell_angle_beta 104.69
_cell_angle_gamma 90.00
_space_group_name_H-M_alt 'P 1'
_space_group_IT_number 1
loop_
_space_group_symop_operation_xyz
'x,y,z'
loop_
_atom_site_label
_atom_site_type_symbol
_atom_site_fract_x
_atom_site_fract_y
_atom_site_fract_z
Zn1 Zn 0.668 0.168 0.337
Y1 Y 0.250 0.750 0.500
Zn2 Zn 0.582 0.582 0.163
Zn3 Zn 0.418 0.418 0.837
Y2 Y 0.000 0.000 0.000
Zn4 Zn 0.832 0.332 0.663
# calculated volume: 121 Å³ per cell
# E: -3.66 eV/atom
# space group: No. 141
# mass density: 6.04 Mg/m³